# YReB, relaxed, DFT GGA-PBE
# Crystal system = tetragonal
# ΔH_f (0 K) = -4.0 kcal/mol of atoms
# Calculated total energy = -8.705 eV per atom
# SG = No. 129
data_YReB
_symmetry_space_group_name_H-M 'P 1'
_symmetry_Int_Tables_number 1
_cell_length_a 3.695
_cell_length_b 3.696
_cell_length_c 7.691
_cell_angle_alpha 90.00
_cell_angle_beta 90.00
_cell_angle_gamma 90.00
loop_
_symmetry_equiv_pos_as_xyz
'x,y,z'
loop_
_atom_site_label
_atom_site_type_symbol
_atom_site_fract_x
_atom_site_fract_y
_atom_site_fract_z
_atom_site_occupancy
Y1 Y 0.500 0.000 0.667 1
Y2 Y 0.000 0.500 0.333 1
B1 B 0.500 0.000 0.177 1
B2 B 0.000 0.500 0.823 1
Re1 Re 0.000 0.000 0.000 1
Re2 Re 0.500 0.500 0.000 1

# YReB4, relaxed, DFT GGA-PBE
# Crystal system = orthorhombic
# ΔH_f (0 K) = -13.3 kcal/mol of atoms
# Calculated total energy = -8.182 eV per atom
# SG = No. 55
data_YReB4
_symmetry_space_group_name_H-M 'P 1'
_symmetry_Int_Tables_number 1
_cell_length_a 3.620
_cell_length_b 5.984
_cell_length_c 11.577
_cell_angle_alpha 90.00
_cell_angle_beta 90.00
_cell_angle_gamma 90.00
loop_
_symmetry_equiv_pos_as_xyz
'x,y,z'
loop_
_atom_site_label
_atom_site_type_symbol
_atom_site_fract_x
_atom_site_fract_y
_atom_site_fract_z
_atom_site_occupancy
Y1 Y 0.000 0.127 0.150 1
Y2 Y 0.000 0.873 0.850 1
Y3 Y 0.000 0.627 0.350 1
Y4 Y 0.000 0.373 0.650 1
Re1 Re 0.000 0.132 0.412 1
Re2 Re 0.000 0.868 0.588 1
Re3 Re 0.000 0.632 0.088 1
Re4 Re 0.000 0.368 0.912 1
B1 B 0.500 0.477 0.192 1
B2 B 0.500 0.523 0.808 1
B3 B 0.500 0.977 0.308 1
B4 B 0.500 0.023 0.692 1
B5 B 0.500 0.287 0.315 1
B6 B 0.500 0.713 0.685 1
B7 B 0.500 0.787 0.185 1
B8 B 0.500 0.213 0.815 1
B9 B 0.500 0.364 0.469 1
B10 B 0.500 0.636 0.531 1
B11 B 0.500 0.864 0.031 1
B12 B 0.500 0.136 0.969 1
B13 B 0.500 0.387 0.047 1
B14 B 0.500 0.613 0.953 1
B15 B 0.500 0.887 0.453 1
B16 B 0.500 0.113 0.547 1

# YRe3B, relaxed, DFT GGA-PBE
# Crystal system = cubic
# ΔH_f (0 K) = 4.6 kcal/mol of atoms
# Calculated total energy = -9.898 eV per atom
# SG = No. 221
data_YRe3B
_symmetry_space_group_name_H-M 'P 1'
_symmetry_Int_Tables_number 1
_cell_length_a 4.281
_cell_length_b 4.281
_cell_length_c 4.281
_cell_angle_alpha 90.00
_cell_angle_beta 90.00
_cell_angle_gamma 90.00
loop_
_symmetry_equiv_pos_as_xyz
'x,y,z'
loop_
_atom_site_label
_atom_site_type_symbol
_atom_site_fract_x
_atom_site_fract_y
_atom_site_fract_z
_atom_site_occupancy
Y1 Y 0.500 0.500 0.500 1
Re1 Re 0.000 0.500 0.000 1
Re2 Re 0.000 0.000 0.500 1
Re3 Re 0.500 0.000 0.000 1
B1 B 0.000 0.000 0.000 1